[1]
VASP calculation (GGA-PBE) on an optimized crystal structure of ZnAuBr2.

ρ: 6.15 g/cm³
raw formation energy: -0.23 eV per atom
E_tot: -2.2073 eV per atom
D(E_F): 2.23 states/eV/cell
E above lowest polymorph: 37.2 meV per atom

abc: 7.6890 3.6053 8.7778
angles: 90.00 110.44 90.00
Space group Cm (No. 8)
Unique sites:
Zn 0.0000 0.0000 0.0000
Au 0.2095 0.5000 0.1899
Br 0.3151 0.0000 0.8148
Br 0.4501 0.0000 0.3738

[2]
VASP calculation (GGA-PBE) on an optimized crystal structure of ZnAu2Br.

ρ: 9.77 g/cm³
raw formation energy: 0.13 eV per atom
E_tot: -2.2467 eV per atom
D(E_F): 1.60 states/eV/cell
E above lowest polymorph: 329.7 meV per atom

abc: 3.8163 3.8163 6.2924
angles: 90.00 90.00 90.00
Space group P4/mmm (No. 123)
Unique sites:
Zn 0.0000 0.0000 0.0000
Au 0.0000 0.5000 0.5000
Br 0.5000 0.5000 0.0000

[3]
VASP calculation (GGA-PBE) on an optimized crystal structure of ZnAuBr2.

ρ: 5.87 g/cm³
raw formation energy: -0.27 eV per atom
E_tot: -2.2445 eV per atom
D(E_F): 0.79 states/eV/cell
E above lowest polymorph: 0.0 meV per atom

abc: 5.3254 3.5632 6.4799
angles: 90.00 103.64 90.00
Space group Pm (No. 6)
Unique sites:
Zn 0.0000 0.0000 0.0000
Au 0.2820 0.5000 0.8626
Br 0.5767 0.0000 0.7067
Br 0.9223 0.5000 0.2487

[4]
VASP calculation (GGA-PBE) on an optimized crystal structure of Zn2AuBr.

ρ: 8.34 g/cm³
raw formation energy: -0.15 eV per atom
E_tot: -2.0243 eV per atom
D(E_F): 1.17 states/eV/cell
E above lowest polymorph: 97.2 meV per atom

abc: 3.3114 3.4122 7.1870
angles: 90.00 90.00 90.00
Space group Pmmm (No. 47)
Unique sites:
Zn 0.0000 0.0000 0.1961
Au 0.5000 0.5000 0.0000
Br 0.5000 0.0000 0.5000

[5]
VASP calculation (GGA-PBE) on an optimized crystal structure of ZnAuBr2.

ρ: 7.80 g/cm³
raw formation energy: 0.37 eV per atom
E_tot: -1.6060 eV per atom
D(E_F): 10.33 states/eV/cell
E above lowest polymorph: 638.5 meV per atom

abc: 7.1107 7.1107 7.1107
angles: 90.00 90.00 90.00
Space group F-43m (No. 216)
Unique sites:
Zn 0.0000 0.0000 0.0000
Au 0.2500 0.2500 0.7500
Br 0.0000 0.0000 0.5000
Br 0.2500 0.2500 0.2500

[6]
VASP calculation (GGA-PBE) on an optimized crystal structure of Zn2AuBr.

ρ: 7.51 g/cm³
raw formation energy: 0.03 eV per atom
E_tot: -1.8487 eV per atom
D(E_F): 1.46 states/eV/cell
E above lowest polymorph: 272.8 meV per atom

abc: 3.5584 3.9220 6.4597
angles: 90.00 90.00 90.00
Space group Pmmm (No. 47)
Unique sites:
Zn 0.0000 0.0000 0.0000
Zn 0.0000 0.5000 0.5000
Au 0.5000 0.0000 0.5000
Br 0.5000 0.5000 0.0000

[7]
VASP calculation (GGA-PBE) on an optimized crystal structure of Zn2AuBr.

ρ: 6.86 g/cm³
raw formation energy: -0.12 eV per atom
E_tot: -1.9953 eV per atom
D(E_F): 0.90 states/eV/cell
E above lowest polymorph: 126.3 meV per atom

abc: 3.6519 3.6519 7.4001
angles: 90.00 90.00 90.00
Space group P4mm (No. 99)
Unique sites:
Zn 0.0000 0.0000 0.0000
Zn 0.5000 0.5000 0.3672
Au 0.0000 0.0000 0.3411
Br 0.5000 0.5000 0.8627

[8]
VASP calculation (GGA-PBE) on an optimized crystal structure of Zn2AuBr.

ρ: 7.18 g/cm³
raw formation energy: -0.02 eV per atom
E_tot: -1.8921 eV per atom
D(E_F): 1.86 states/eV/cell
E above lowest polymorph: 229.5 meV per atom

abc: 3.4852 6.6709 8.1064
angles: 90.00 90.00 90.00
Space group Immm (No. 71)
Unique sites:
Zn 0.0000 0.0000 0.2367
Au 0.0000 0.5000 0.5000
Br 0.0000 0.5000 0.0000